A plane-wave DFT calculation with PBE was carried out for an optimized crystal structure of SmZnTe.

Lattice parameters (Å, degrees): 4.9123 4.9123 4.9123 60.00 60.00 60.00
Closest atoms and distances in Å follow each position.
Positions (direct):
Sm 0.2500 0.2500 0.2500  4 Zn 3.01
Te 0.7500 0.7500 0.7500  4 Zn 3.01
Zn 0.0000 0.0000 0.0000  4 Te 3.01, 4 Sm 3.01

calculated volume	27.94	A^3/atom
electronic total energy	-3.416	eV/atom
space-group type	F-43m (216)
relative energy among the computed polymorphs	0.076	eV per atom